P) Al6AgAu12: relaxed, GGA-PBE.

Calculated values
For the volume, the calculation gives 17.51 Å³ per atom. As for the total magnetic moment: 0.00 μB/f.u.

Lattice parameters (Å, degrees): 7.6729 7.5232 7.5232 70.94 70.13 109.87
Fractional coordinates of all 19 atoms:
Au 0.2617 0.4400 0.6222
Au 0.8217 0.9379 0.4400
Al 0.3205 0.7708 0.7075
Au 0.2005 0.7223 0.1572
Au 0.5217 0.8795 0.2777
Al 0.5496 0.5217 0.7708
Au 0.7995 0.2777 0.8428
Au 0.3577 0.1572 0.1205
Ag 0.0000 0.0000 0.0000
Au 0.1161 0.3778 0.0621
Al 0.9721 0.2925 0.4783
Au 0.7383 0.5600 0.3778
Au 0.8839 0.6222 0.9379
Al 0.4504 0.4783 0.2292
Au 0.6423 0.8428 0.8795
Al 0.6795 0.2292 0.2925
Au 0.1783 0.0621 0.5600
Al 0.0279 0.7075 0.5217
Au 0.4783 0.1205 0.7223

Q) Al6AgAu12: relaxed, GGA-PBE.

Calculated values
For the volume, the calculation gives 18.51 Å³ per atom. As for the total magnetic moment: 0.00 μB/f.u.

Lattice parameters (Å, degrees): 7.3456 7.3456 7.3456 104.28 104.28 104.28
Fractional coordinates of all 19 atoms:
Au 0.6855 0.0242 0.1577
Au 0.3714 0.8167 0.4814
Au 0.9758 0.8423 0.3145
Al 0.5542 0.7454 0.8288
Al 0.4458 0.2546 0.1712
Au 0.3145 0.9758 0.8423
Au 0.1833 0.5186 0.6286
Au 0.4814 0.3714 0.8167
Au 0.8423 0.3145 0.9758
Ag 0.0000 0.0000 0.0000
Au 0.1577 0.6855 0.0242
Au 0.5186 0.6286 0.1833
Al 0.2546 0.1712 0.4458
Al 0.1712 0.4458 0.2546
Au 0.8167 0.4814 0.3714
Al 0.8288 0.5542 0.7454
Al 0.7454 0.8288 0.5542
Au 0.6286 0.1833 0.5186
Au 0.0242 0.1577 0.6855

Order of stability, best first: P), Q)

P) Al2Ag3Au8: relaxed, GGA-PBE.

Calculated values
For the volume, the calculation gives 19.56 Å³ per atom. As for the total magnetic moment: 0.00 μB/f.u.

Lattice parameters (Å, degrees): 5.5028 5.5028 10.2023 74.35 74.35 60.00
Fractional coordinates of all 13 atoms:
Al 0.3653 0.3653 0.9042
Au 0.2671 0.2671 0.6952
Au 0.7329 0.7329 0.3048
Au 0.7167 0.7167 0.8500
Al 0.6347 0.6347 0.0958
Ag 0.0000 0.0000 0.0000
Au 0.2671 0.7706 0.6952
Au 0.7329 0.2294 0.3048
Ag 0.1853 0.1853 0.4442
Au 0.7706 0.2671 0.6952
Au 0.2294 0.7329 0.3048
Au 0.2833 0.2833 0.1500
Ag 0.8147 0.8147 0.5558

Q) Al2Ag3Au8: relaxed, GGA-PBE.

Calculated values
For the volume, the calculation gives 18.81 Å³ per atom. As for the total magnetic moment: 0.00 μB/f.u.

Lattice parameters (Å, degrees): 4.4396 7.3675 8.3117 115.89 90.01 89.98
Fractional coordinates of all 13 atoms:
Au 0.0001 0.8645 0.7329
Al 0.5001 0.7639 0.5413
Au 0.9999 0.3252 0.6516
Au 0.5001 0.4107 0.2457
Au 0.0001 0.6748 0.3484
Au 0.5000 0.8469 0.2551
Au 0.5000 0.1531 0.7449
Al 0.4999 0.2361 0.4587
Au 0.9999 0.1355 0.2671
Au 0.4999 0.5893 0.7543
Ag 0.0000 0.7032 0.0034
Ag 0.5000 0.0000 0.0000
Ag 0.0000 0.2968 0.9966

Order of stability, best first: Q), P)

P) AlAg2Au5: relaxed, GGA-PBE.

Calculated values
For the volume, the calculation gives 17.68 Å³ per atom. As for the total magnetic moment: 0.00 μB/f.u.

Lattice parameters (Å, degrees): 4.3641 5.6723 11.4267 90.00 90.00 90.00
Fractional coordinates of all 16 atoms:
Au 0.0000 0.5000 0.5000
Au 0.5000 0.3064 0.0996
Au 0.5000 0.8064 0.4004
Ag 0.5000 0.1866 0.8562
Al 0.0000 0.5000 0.0000
Au 0.0000 0.5366 0.2322
Au 0.0000 0.9634 0.7322
Au 0.0000 0.4634 0.7678
Au 0.0000 0.0366 0.2678
Au 0.0000 0.0000 0.0000
Al 0.0000 0.0000 0.5000
Ag 0.5000 0.6866 0.6438
Ag 0.5000 0.3134 0.3562
Au 0.5000 0.6936 0.9004
Ag 0.5000 0.8134 0.1438
Au 0.5000 0.1936 0.5996

Q) AlAg2Au5: relaxed, GGA-PBE.

Calculated values
For the volume, the calculation gives 24.36 Å³ per atom. As for the total magnetic moment: 0.00 μB/f.u.

Lattice parameters (Å, degrees): 4.2798 8.9584 10.4685 90.00 90.00 103.82
Fractional coordinates of all 16 atoms:
Au 0.2563 0.5125 0.0791
Al 0.1513 0.3026 0.2500
Au 0.9684 0.9368 0.6189
Al 0.8487 0.6974 0.7500
Ag 0.8734 0.7468 0.0999
Ag 0.1266 0.2532 0.9001
Ag 0.8734 0.7468 0.4001
Au 0.7437 0.4875 0.9209
Au 0.0316 0.0632 0.3811
Au 0.7437 0.4875 0.5791
Au 0.2563 0.5125 0.4209
Au 0.9684 0.9368 0.8811
Ag 0.1266 0.2532 0.5999
Au 0.7372 0.4744 0.2500
Au 0.0316 0.0632 0.1189
Au 0.2628 0.5256 0.7500

Order of stability, best first: P), Q)

P) AlAg3Au6: relaxed, GGA-PBE.

Calculated values
For the volume, the calculation gives 24.21 Å³ per atom. As for the total magnetic moment: 0.00 μB/f.u.

Lattice parameters (Å, degrees): 6.7324 6.7324 6.9730 114.60 114.60 97.92
Fractional coordinates of all 10 atoms:
Ag 0.2500 0.7500 0.5000
Au 0.8929 0.8929 0.2559
Ag 0.5000 0.5000 0.0000
Au 0.1071 0.1071 0.7441
Au 0.2382 0.7618 0.0000
Au 0.3630 0.3630 0.2559
Au 0.6370 0.6370 0.7441
Al 0.0000 0.0000 0.0000
Ag 0.7500 0.2500 0.5000
Au 0.7618 0.2382 0.0000

Q) AlAg3Au6: relaxed, GGA-PBE.

Calculated values
For the volume, the calculation gives 17.73 Å³ per atom. As for the total magnetic moment: 0.00 μB/f.u.

Lattice parameters (Å, degrees): 4.2302 9.0514 9.2765 93.09 90.00 90.00
Fractional coordinates of all 20 atoms:
Ag 0.7500 0.4487 0.5985
Ag 0.2500 0.3468 0.7904
Ag 0.2500 0.7521 0.0150
Au 0.2500 0.1555 0.1872
Ag 0.7500 0.6532 0.2096
Al 0.2500 0.9375 0.6168
Au 0.7500 0.1243 0.6721
Ag 0.2500 0.5513 0.4015
Al 0.7500 0.0625 0.3832
Au 0.2500 0.8757 0.3279
Au 0.7500 0.5487 0.9028
Au 0.2500 0.4513 0.0972
Au 0.7500 0.3469 0.2999
Au 0.2500 0.0478 0.8880
Au 0.2500 0.6531 0.7001
Ag 0.7500 0.2479 0.9850
Au 0.7500 0.9522 0.1120
Au 0.7500 0.7730 0.5064
Au 0.7500 0.8445 0.8128
Au 0.2500 0.2270 0.4936

Order of stability, best first: Q), P)

P) Al2AgAu6: relaxed, GGA-PBE.

Calculated values
For the volume, the calculation gives 18.68 Å³ per atom. As for the total magnetic moment: 0.00 μB/f.u.

Lattice parameters (Å, degrees): 4.3067 6.6780 6.6780 118.91 90.00 90.00
Fractional coordinates of all 9 atoms:
Al 0.0000 0.3187 0.5789
Au 0.5000 0.4903 0.4903
Ag 0.5000 0.0546 0.0546
Au 0.0000 0.2364 0.9123
Au 0.5000 0.5725 0.0743
Au 0.5000 0.0743 0.5725
Al 0.0000 0.5789 0.3187
Au 0.0000 0.7618 0.7618
Au 0.0000 0.9123 0.2364

Q) Al2AgAu6: relaxed, GGA-PBE.

Calculated values
For the volume, the calculation gives 19.47 Å³ per atom. As for the total magnetic moment: 0.00 μB/f.u.

Lattice parameters (Å, degrees): 4.2188 6.5310 7.2391 71.73 73.06 71.16
Fractional coordinates of all 9 atoms:
Au 0.0709 0.7677 0.0905
Au 0.4138 0.8159 0.3566
Au 0.2643 0.3103 0.1610
Ag 0.0000 0.5000 0.5000
Au 0.9291 0.2323 0.9095
Au 0.7357 0.6897 0.8390
Al 0.8057 0.0785 0.3100
Au 0.5863 0.1841 0.6434
Al 0.1943 0.9215 0.6900

Order of stability, best first: P), Q)

P) Al2AgAu2: relaxed, GGA-PBE.

Calculated values
For the volume, the calculation gives 17.36 Å³ per atom. As for the total magnetic moment: 0.00 μB/f.u.

Lattice parameters (Å, degrees): 5.0374 6.4134 7.1636 88.18 75.94 51.55
Fractional coordinates of all 10 atoms:
Au 0.6092 0.4265 0.1781
Ag 0.1331 0.2427 0.7987
Al 0.2821 0.9281 0.0845
Al 0.7179 0.0719 0.9155
Al 0.6184 0.2208 0.5086
Au 0.8645 0.7465 0.6172
Al 0.3816 0.7792 0.4914
Ag 0.8669 0.7573 0.2013
Au 0.1355 0.2535 0.3828
Au 0.3908 0.5735 0.8219

Q) Al2AgAu2: relaxed, GGA-PBE.

Calculated values
For the volume, the calculation gives 17.35 Å³ per atom. As for the total magnetic moment: 0.00 μB/f.u.

Lattice parameters (Å, degrees): 7.7323 7.7323 2.9015 90.00 90.00 90.00
Fractional coordinates of all 10 atoms:
Al 0.8713 0.6287 0.0000
Ag 0.0000 0.0000 0.0000
Au 0.1704 0.6704 0.5000
Al 0.6287 0.1287 0.0000
Au 0.8296 0.3296 0.5000
Au 0.6704 0.8296 0.5000
Ag 0.5000 0.5000 0.0000
Al 0.1287 0.3713 0.0000
Al 0.3713 0.8713 0.0000
Au 0.3296 0.1704 0.5000

Order of stability, best first: P), Q)